(1)
## Sc4TaPbN2 (PBE)

Data for Sc4TaPbN2 after structural relaxation.

Unit cell a=3.2251 b=3.2251 c=14.9905 alpha=90.00 beta=90.00 gamma=120.00
Element x y z (fractional)
Pb1 0.0000 0.0000 0.5000
N1 0.6667 0.3333 0.2552
N2 0.6667 0.3333 0.7448
Ta1 0.3333 0.6667 0.0000
Sc1 0.0000 0.0000 0.8347
Sc2 0.0000 0.0000 0.1653
Sc3 0.3333 0.6667 0.3294
Sc4 0.3333 0.6667 0.6706

E_tot in eV/atom: -8.173
Density in kg/m3: 7329
Space-group type: P-6m2
V in Å³ per atom: 16.88

***

(2)
## Sc4Ta2Pb3N3 (PBE)

Data for Sc4Ta2Pb3N3 after structural relaxation.

Unit cell a=5.7361 b=5.7361 c=14.6104 alpha=101.23 beta=101.23 gamma=60.24
Element x y z (fractional)
N1 0.3338 0.8323 0.5000
N2 0.1677 0.6662 0.0000
N3 0.0000 0.5000 0.5000
N4 0.6662 0.1677 0.5000
N5 0.8323 0.3338 0.0000
N6 0.5000 0.0000 0.0000
Sc1 0.8093 0.9692 0.9178
Sc2 0.0308 0.1907 0.5822
Sc3 0.1907 0.0308 0.0822
Sc4 0.8645 0.6939 0.0822
Sc5 0.3061 0.1355 0.4178
Sc6 0.6939 0.8645 0.5822
Sc7 0.9692 0.8093 0.4178
Sc8 0.1355 0.3061 0.9178
Pb1 0.5842 0.7395 0.2492
Pb2 0.9075 0.0925 0.2500
Pb3 0.0925 0.9075 0.7500
Pb4 0.7395 0.5842 0.7492
Pb5 0.4158 0.2605 0.7508
Pb6 0.2605 0.4158 0.2508
Ta1 0.4755 0.6442 0.9264
Ta2 0.5245 0.3558 0.0736
Ta3 0.6442 0.4755 0.4264
Ta4 0.3558 0.5245 0.5736

E_tot in eV/atom: -7.993
Density in kg/m3: 9845
Space-group type: C2/c
V in Å³ per atom: 16.94

***

(3)
## Sc2Pb3W4N3 (PBE)

Data for Sc2Pb3W4N3 after structural relaxation.

Unit cell a=5.8034 b=5.8034 c=13.8479 alpha=101.90 beta=101.90 gamma=59.91
Element x y z (fractional)
Sc1 0.3513 0.5262 0.5852
Sc2 0.4738 0.6487 0.9148
Sc3 0.5262 0.3513 0.0852
Sc4 0.6487 0.4738 0.4148
N1 0.3404 0.8180 0.5003
N2 0.8180 0.3404 0.0003
N3 0.5000 0.0000 0.0000
N4 0.0000 0.5000 0.5000
N5 0.6596 0.1820 0.4997
N6 0.1820 0.6596 0.9997
Pb1 0.2308 0.4224 0.2528
Pb2 0.5776 0.7692 0.2472
Pb3 0.7692 0.5776 0.7472
Pb4 0.9274 0.0726 0.2500
Pb5 0.0726 0.9274 0.7500
Pb6 0.4224 0.2308 0.7528
W1 0.8280 0.9616 0.9304
W2 0.3099 0.1283 0.4309
W3 0.8717 0.6901 0.0691
W4 0.9616 0.8280 0.4304
W5 0.0384 0.1720 0.5696
W6 0.1720 0.0384 0.0696
W7 0.6901 0.8717 0.5691
W8 0.1283 0.3099 0.9309

E_tot in eV/atom: -8.475
Density in kg/m3: 12615
Space-group type: C2/c
V in Å³ per atom: 16.33

***

(4)
## Zr2Sc4Pb3N3 (PBE)

Data for Zr2Sc4Pb3N3 after structural relaxation.

Unit cell a=5.8009 b=5.8009 c=15.0201 alpha=101.07 beta=101.07 gamma=60.06
Element x y z (fractional)
N1 0.8387 0.3304 0.5000
N2 0.0000 0.5000 0.0000
N3 0.3304 0.8387 0.0000
N4 0.1613 0.6696 0.5000
N5 0.6696 0.1613 0.0000
N6 0.5000 0.0000 0.5000
Pb1 0.2509 0.4157 0.7502
Pb2 0.0822 0.9178 0.2500
Pb3 0.9178 0.0822 0.7500
Pb4 0.4157 0.2509 0.2502
Pb5 0.5843 0.7491 0.7498
Pb6 0.7491 0.5843 0.2498
Zr1 0.4736 0.6411 0.4206
Zr2 0.5264 0.3589 0.5794
Zr3 0.3589 0.5264 0.0794
Zr4 0.6411 0.4736 0.9206
Sc1 0.1911 0.0289 0.5799
Sc2 0.3070 0.1375 0.9201
Sc3 0.0289 0.1911 0.0799
Sc4 0.8089 0.9711 0.4201
Sc5 0.6930 0.8625 0.0799
Sc6 0.8625 0.6930 0.5799
Sc7 0.1375 0.3070 0.4201
Sc8 0.9711 0.8089 0.9201

E_tot in eV/atom: -7.665
Density in kg/m3: 7978
Space-group type: C2/c
V in Å³ per atom: 17.79

***

- Look up the V of the second one.
  16.94 Å³ per atom